DFT (GGA-PBE) results for a geometry-optimized Nd2GdTl2Cd4 structure.

```
Nd2GdTl2Cd4
1.0
4.6505 0.0000 0.0000
0.0000 6.6192 3.8591
0.0000 -6.6192 3.8591
Nd Gd Tl Cd
2 1 2 4
direct
0.0000 0.2112 0.7888
0.0000 0.7888 0.2112
0.0000 0.6345 0.6345
0.5000 0.5469 0.8760
0.5000 0.8760 0.5469
0.0000 0.2172 0.2172
0.5000 0.2124 0.4513
0.5000 0.4513 0.2124
0.5000 0.9750 0.9750
```

## Properties
Raw total energy = -0.105 hartree per atom
Space group = Amm2

DFT (GGA-PBE) results for a geometry-optimized TaCdO3 structure.

```
TaCdO3
1.0
5.1970 -4.4979 0.0000
5.1970 4.4979 0.0000
-2.0583 0.0000 6.4827
Ta Cd O
4 4 12
direct
0.1294 0.2652 0.2686
0.2652 0.1294 0.7686
0.7348 0.8706 0.2314
0.8706 0.7348 0.7314
0.1959 0.8041 0.2500
0.4088 0.5912 0.7500
0.5912 0.4088 0.2500
0.8041 0.1959 0.7500
0.1134 0.2468 0.5422
0.1177 0.6370 0.8536
0.2468 0.1134 0.0422
0.2924 0.4786 0.3524
0.3630 0.8823 0.6464
0.4786 0.2924 0.8524
0.5214 0.7076 0.1476
0.6370 0.1177 0.3536
0.7076 0.5214 0.6476
0.7532 0.8866 0.9578
0.8823 0.3630 0.1464
0.8866 0.7532 0.4578
```

## Properties
Raw total energy = -0.276 hartree per atom
Space group = C2/c

DFT (GGA-PBE) results for a geometry-optimized Hf4InB2Pb structure.

```
Hf4InB2Pb
1.0
3.4403 0.0000 0.0000
-1.7201 2.9794 0.0000
0.0000 0.0000 15.0671
Hf In B Pb
4 1 2 1
direct
0.0000 0.0000 0.1660
0.0000 0.0000 0.8340
0.3333 0.6667 0.3325
0.3333 0.6667 0.6675
0.3333 0.6667 0.0000
0.6667 0.3333 0.2501
0.6667 0.3333 0.7499
0.0000 0.0000 0.5000
```

## Properties
Raw total energy = -0.291 hartree per atom
Space group = P-6m2

DFT (GGA-PBE) results for a geometry-optimized Li5NbO4 structure.

```
Li5NbO4
1.0
5.2555 0.0000 0.0000
0.0000 3.0230 0.0000
-0.1127 0.0000 5.4753
Li Nb O
5 1 4
direct
0.0000 0.0000 0.0000
0.3500 0.5000 0.1447
0.3785 0.0000 0.6750
0.6215 0.0000 0.3250
0.6500 0.5000 0.8553
0.0000 0.5000 0.5000
0.2393 0.5000 0.8198
0.2530 0.0000 0.3313
0.7470 0.0000 0.6687
0.7607 0.5000 0.1802
```

## Properties
Raw total energy = -0.214 hartree per atom
Space group = P2/m

DFT (GGA-PBE) results for a geometry-optimized Y2Er3Lu2Ni2Te2 structure.

```
Y2Er3Lu2Ni2Te2
1.0
-1.9096 7.7229 4.7483
1.9096 -7.7229 4.7483
1.9096 7.7229 -4.7483
Y Er Lu Ni Te
2 3 2 2 2
direct
0.1845 0.0000 0.1845
0.8155 0.0000 0.8155
0.5015 0.6482 0.8533
0.7950 0.6482 0.1467
0.8782 0.3782 0.5000
0.1640 0.7969 0.3672
0.4297 0.7969 0.6328
0.0448 0.3053 0.7395
0.5658 0.3053 0.2605
0.1453 0.1453 0.0000
0.5410 0.0410 0.5000
```

## Properties
Space group = Imm2
Relative energy among the computed polymorphs = 0.019 eV per atom

DFT (GGA-PBE) results for a geometry-optimized Li2Mg2AlZnPt2 structure.

```
Li2Mg2AlZnPt2
1.0
4.4031 0.0000 0.0000
0.0000 4.4031 0.0000
0.0000 0.0000 6.2311
Li Mg Al Zn Pt
2 2 1 1 2
direct
0.0000 0.5000 0.2454
0.5000 0.0000 0.7546
0.0000 0.0000 0.0000
0.5000 0.5000 0.5000
0.0000 0.0000 0.5000
0.5000 0.5000 0.0000
0.0000 0.5000 0.7370
0.5000 0.0000 0.2630
```

## Properties
Raw total energy = -0.135 hartree per atom
Space group = P-4m2